A relaxed CoTcAsO crystal, computed with GGA+U.

Geometry as POSCAR:
```
CoTcAsO
1.0
-2.790 2.311 -1.103
0.481 -1.130 -3.583
-6.041 -6.674 1.294
Tc Co As O
2 2 2 2
Direct
0.500 0.500 0.500 Tc
0.000 0.000 0.500 Tc
0.000 0.500 0.935 Co
0.500 0.000 0.065 Co
0.000 0.500 0.313 As
0.500 0.000 0.687 As
0.500 0.500 0.000 O
0.000 0.000 0.000 O
```

Values from the calculation:
excess energy over the best structure of this formula in the dataset: 0.087 eV per atom
ρ: 6.3 g/cm³
crystal system: tetragonal
raw total energy: -26.13 eV per formula unit
symmetry: P4/nmm